[1]
This record from the Alexandria database describes an optimized crystal structure of Mg2AgCl. The functional is PBE.

Structure (POSCAR):
```
Mg2AgCl
1.0
-3.451 3.948 -1.904
-3.988 0.047 3.901
5.356 1.103 -1.103
Cl Ag Mg
1 1 2
Direct
0.250 0.750 0.500
0.750 0.250 0.500
0.014 0.014 0.000
0.486 0.486 0.000
```

* formation energy (no corrections): -0.3890 eV per atom
* V: 22.3 Å³/atom
* ρ: 3.58 g/cm³
* E above lowest polymorph: 230 meV/atom
* space-group type: Immm, No. 71

***

[2]
This record from the Alexandria database describes an optimized crystal structure of Mg2AgCl. The functional is PBE.

Structure (POSCAR):
```
Mg2AgCl
1.0
-0.596 -0.037 -5.181
1.313 -2.864 -0.131
-4.704 -2.180 0.556
Mg Cl Ag
2 1 1
Direct
0.500 0.000 0.376
0.000 0.001 0.874
0.500 0.998 0.875
0.000 0.501 0.375
```

* formation energy (no corrections): -0.4448 eV per atom
* V: 21.4 Å³/atom
* ρ: 3.72 g/cm³
* E above lowest polymorph: 174 meV/atom
* space-group type: Pm, No. 6

***

[3]
This record from the Alexandria database describes an optimized crystal structure of MgAgCl2. The functional is PBE.

Structure (POSCAR):
```
MgAgCl2
1.0
3.364 0.000 0.000
0.000 3.364 0.000
0.000 0.000 7.781
Ag Cl Mg
1 2 1
Direct
0.500 0.500 0.748
0.500 0.500 0.329
0.000 0.000 0.928
0.000 0.000 0.495
```

* formation energy (no corrections): -0.6781 eV per atom
* V: 22.0 Å³/atom
* ρ: 3.83 g/cm³
* E above lowest polymorph: 380 meV/atom
* space-group type: P4mm, No. 99

***

[4]
This record from the Alexandria database describes an optimized crystal structure of Mg2AgCl. The functional is PBE.

Structure (POSCAR):
```
Mg2AgCl
1.0
3.271 0.000 0.000
0.000 3.273 0.000
0.000 0.000 7.610
Mg Cl Ag
2 1 1
Direct
0.000 0.000 0.024
0.000 0.000 0.476
0.500 0.500 0.750
0.500 0.500 0.250
```

* formation energy (no corrections): -0.4878 eV per atom
* V: 20.4 Å³/atom
* ρ: 3.91 g/cm³
* E above lowest polymorph: 131 meV/atom
* space-group type: P4/mmm, No. 123

***

[5]
This record from the Alexandria database describes an optimized crystal structure of Mg2AgCl. The functional is PBE.

Structure (POSCAR):
```
Mg2AgCl
1.0
-1.007 1.967 -2.335
-3.136 -1.532 0.062
-2.351 4.954 5.186
Ag Cl Mg
1 1 2
Direct
0.500 0.250 0.250
0.500 0.750 0.750
0.000 0.746 0.469
0.000 0.754 0.031
```

* formation energy (no corrections): -0.6186 eV per atom
* V: 21.2 Å³/atom
* ρ: 3.76 g/cm³
* E above lowest polymorph: 0 meV/atom
* space-group type: P2/m, No. 10

***

[6]
This record from the Alexandria database describes an optimized crystal structure of Mg2Ag5Cl12. The functional is PBE.

Structure (POSCAR):
```
Mg2Ag5Cl12
1.0
-1.726 6.632 2.089
-1.157 -1.748 -7.709
-8.012 -3.266 3.753
Cl Ag Mg
12 5 2
Direct
0.615 0.749 0.476
0.950 0.899 0.153
0.434 0.349 0.163
0.867 0.251 0.524
0.452 0.904 0.149
0.133 0.749 0.476
0.916 0.349 0.163
0.566 0.651 0.837
0.548 0.096 0.851
0.050 0.101 0.847
0.385 0.251 0.524
0.084 0.651 0.837
0.357 0.714 0.663
0.643 0.286 0.337
0.000 0.000 0.500
0.292 0.583 0.267
0.708 0.417 0.733
0.238 0.001 0.000
0.762 0.999 0.000
```

* formation energy (no corrections): -0.8214 eV per atom
* V: 24.8 Å³/atom
* ρ: 3.57 g/cm³
* space-group type: P-1, No. 2

***

[7]
This record from the Alexandria database describes an optimized crystal structure of Mg2AgCl. The functional is PBE.

Structure (POSCAR):
```
Mg2AgCl
1.0
-0.862 -2.220 -5.309
2.405 -1.273 -5.143
1.266 -4.429 0.345
Ag Mg Cl
1 2 1
Direct
0.491 0.491 0.623
0.759 0.759 0.659
0.010 0.010 0.103
0.239 0.239 0.114
```

* formation energy (no corrections): -0.4305 eV per atom
* V: 21.1 Å³/atom
* ρ: 3.78 g/cm³
* E above lowest polymorph: 188 meV/atom
* space-group type: Cm, No. 8

***

[8]
This record from the Alexandria database describes an optimized crystal structure of MgAg3Cl4. The functional is PBE.

Structure (POSCAR):
```
MgAg3Cl4
1.0
6.156 0.000 0.000
0.000 6.156 0.000
-3.078 -3.078 5.902
Cl Mg Ag
4 1 3
Direct
0.658 0.110 0.769
0.342 0.342 0.231
0.110 0.658 0.769
0.890 0.890 0.231
0.000 0.000 0.000
0.500 0.500 0.000
0.250 0.750 0.500
0.750 0.250 0.500
```

* formation energy (no corrections): -0.6322 eV per atom
* V: 28.0 Å³/atom
* ρ: 3.64 g/cm³
* space-group type: I-42m, No. 121

***

[9]
This record from the Alexandria database describes an optimized crystal structure of MgAgCl2. The functional is PBE.

Structure (POSCAR):
```
MgAgCl2
1.0
-2.407 2.012 -1.290
-0.012 -3.256 -0.949
-6.634 -2.464 8.536
Ag Cl Mg
1 2 1
Direct
0.500 0.500 0.750
0.000 0.000 0.396
0.000 0.000 0.104
0.500 0.500 0.250
```

* formation energy (no corrections): -0.8534 eV per atom
* V: 28.3 Å³/atom
* ρ: 2.98 g/cm³
* E above lowest polymorph: 205 meV/atom
* space-group type: Cmmm, No. 65

***

[10]
This record from the Alexandria database describes an optimized crystal structure of MgAgCl3. The functional is PBE.

Structure (POSCAR):
```
MgAgCl3
1.0
5.067 0.000 0.000
0.000 5.067 0.000
0.000 0.000 5.067
Cl Mg Ag
3 1 1
Direct
0.000 0.000 0.500
0.500 0.000 0.000
0.000 0.500 0.000
0.500 0.500 0.500
0.000 0.000 0.000
```

* formation energy (no corrections): -0.4512 eV per atom
* V: 26.0 Å³/atom
* ρ: 3.05 g/cm³
* E above lowest polymorph: 818 meV/atom
* space-group type: Pm-3m, No. 221

***

[11]
This record from the Alexandria database describes an optimized crystal structure of MgAgCl. The functional is PBE.

Structure (POSCAR):
```
MgAgCl
1.0
-6.755 1.397 -1.365
-5.252 -1.591 -4.397
5.379 -1.595 4.239
Ag Cl Mg
1 1 1
Direct
0.039 0.039 0.000
0.285 0.285 0.000
0.676 0.676 0.000
```

* formation energy (no corrections): -0.5910 eV per atom
* V: 22.6 Å³/atom
* ρ: 4.10 g/cm³
* E above lowest polymorph: 91 meV/atom
* space-group type: I4mm, No. 107

***

[12]
This record from the Alexandria database describes an optimized crystal structure of MgAgCl3. The functional is PBE.

Structure (POSCAR):
```
MgAgCl3
1.0
3.781 0.000 0.000
0.000 9.260 0.812
0.000 -1.498 7.080
Mg Cl Ag
2 6 2
Direct
0.250 0.833 0.414
0.750 0.167 0.586
0.250 0.662 0.120
0.750 0.338 0.880
0.250 0.310 0.463
0.750 0.984 0.297
0.750 0.690 0.537
0.250 0.016 0.703
0.750 0.650 0.871
0.250 0.350 0.129
```

* formation energy (no corrections): -1.2695 eV per atom
* V: 25.2 Å³/atom
* ρ: 3.14 g/cm³
* E above lowest polymorph: 0 meV/atom
* space-group type: P2_1/m, No. 11

***

[13]
This record from the Alexandria database describes an optimized crystal structure of MgAgCl2. The functional is PBE.

Structure (POSCAR):
```
MgAgCl2
1.0
-3.687 0.458 -0.276
-0.699 -2.085 5.878
0.360 3.715 1.361
Mg Cl Ag
1 2 1
Direct
0.500 0.000 0.500
0.000 0.000 0.000
0.500 0.500 0.000
0.000 0.500 0.500
```

* formation energy (no corrections): -0.5288 eV per atom
* V: 23.2 Å³/atom
* ρ: 3.63 g/cm³
* E above lowest polymorph: 529 meV/atom
* space-group type: Pmmm, No. 47

***

[14]
This record from the Alexandria database describes an optimized crystal structure of Mg2AgCl. The functional is PBE.

Structure (POSCAR):
```
Mg2AgCl
1.0
3.411 -0.091 -0.093
1.812 2.892 -0.093
2.031 1.089 8.001
Mg Cl Ag
2 1 1
Direct
0.504 0.504 0.499
0.996 0.996 0.001
0.250 0.250 0.250
0.750 0.750 0.750
```

* formation energy (no corrections): -0.5619 eV per atom
* V: 20.2 Å³/atom
* ρ: 3.94 g/cm³
* E above lowest polymorph: 57 meV/atom
* space-group type: C2/m, No. 12

***

[15]
This record from the Alexandria database describes an optimized crystal structure of MgAgCl. The functional is PBE.

Structure (POSCAR):
```
MgAgCl
1.0
-3.081 0.197 -3.521
-2.614 -3.744 -1.036
-4.594 0.028 0.908
Ag Cl Mg
1 1 1
Direct
0.000 0.000 0.000
0.500 0.500 0.500
0.750 0.750 0.750
```

* formation energy (no corrections): -0.2353 eV per atom
* V: 24.2 Å³/atom
* ρ: 3.83 g/cm³
* E above lowest polymorph: 447 meV/atom
* space-group type: F-43m, No. 216

***

[16]
This record from the Alexandria database describes an optimized crystal structure of MgAgCl2. The functional is PBE.

Structure (POSCAR):
```
MgAgCl2
1.0
3.141 0.000 0.000
0.000 3.141 0.000
0.000 0.000 10.954
Cl Mg Ag
2 1 1
Direct
0.000 0.000 0.112
0.000 0.000 0.388
0.500 0.500 0.250
0.500 0.500 0.750
```

* formation energy (no corrections): -0.7791 eV per atom
* V: 27.0 Å³/atom
* ρ: 3.12 g/cm³
* E above lowest polymorph: 279 meV/atom
* space-group type: P4/mmm, No. 123

***

[17]
This record from the Alexandria database describes an optimized crystal structure of MgAgCl2. The functional is PBE.

Structure (POSCAR):
```
MgAgCl2
1.0
3.455 0.000 0.000
0.000 5.872 -0.117
0.000 1.972 5.306
Ag Cl Mg
1 2 1
Direct
0.500 0.758 0.713
0.500 0.292 0.377
0.000 0.884 0.009
0.000 0.566 0.401
```

* formation energy (no corrections): -0.8613 eV per atom
* V: 27.1 Å³/atom
* ρ: 3.11 g/cm³
* E above lowest polymorph: 197 meV/atom
* space-group type: Pm, No. 6

***

[18]
This record from the Alexandria database describes an optimized crystal structure of Mg2AgCl. The functional is PBE.

Structure (POSCAR):
```
Mg2AgCl
1.0
0.000 3.520 3.520
3.520 0.000 3.520
3.520 3.520 0.000
Ag Cl Mg
1 1 2
Direct
0.500 0.500 0.500
0.000 0.000 0.000
0.250 0.250 0.250
0.750 0.750 0.750
```

* formation energy (no corrections): -0.1614 eV per atom
* V: 21.8 Å³/atom
* ρ: 3.65 g/cm³
* E above lowest polymorph: 457 meV/atom
* space-group type: Fm-3m, No. 225

***

[19]
This record from the Alexandria database describes an optimized crystal structure of Mg3AgCl8. The functional is PBE.

Structure (POSCAR):
```
Mg3AgCl8
1.0
-1.866 -3.962 6.016
-5.216 2.263 -4.730
4.919 -5.680 -2.214
Mg Cl Ag
3 8 1
Direct
0.500 0.000 0.000
0.500 0.500 0.000
0.000 0.500 0.000
0.244 0.488 0.214
0.751 0.026 0.784
0.756 0.512 0.786
0.725 0.974 0.216
0.260 0.520 0.788
0.275 0.026 0.784
0.249 0.974 0.216
0.740 0.480 0.212
0.000 0.000 0.000
```

* formation energy (no corrections): -1.4555 eV per atom
* V: 25.7 Å³/atom
* ρ: 2.50 g/cm³
* space-group type: C2/m, No. 12

***

[20]
This record from the Alexandria database describes an optimized crystal structure of Mg3Ag5Cl12. The functional is PBE.

Structure (POSCAR):
```
Mg3Ag5Cl12
1.0
-3.501 5.820 12.538
11.742 -7.938 1.558
2.475 10.332 -9.510
Cl Ag Mg
48 20 12
Direct
0.865 0.358 0.038
0.462 0.635 0.642
0.173 0.635 0.493
0.142 0.962 0.635
0.820 0.962 0.827
0.680 0.007 0.642
0.635 0.462 0.142
0.642 0.135 0.462
0.038 0.180 0.673
0.993 0.673 0.635
0.993 0.320 0.858
0.507 0.642 0.180
0.173 0.538 0.180
0.673 0.993 0.135
0.680 0.673 0.538
0.673 0.680 0.038
0.180 0.038 0.173
0.007 0.327 0.365
0.135 0.493 0.673
0.358 0.865 0.538
0.320 0.327 0.462
0.142 0.180 0.007
0.327 0.320 0.962
0.320 0.993 0.358
0.858 0.038 0.365
0.538 0.173 0.680
0.507 0.865 0.827
0.865 0.507 0.327
0.180 0.142 0.507
0.365 0.827 0.007
0.038 0.858 0.865
0.642 0.507 0.680
0.962 0.142 0.135
0.135 0.642 0.962
0.635 0.173 0.993
0.462 0.827 0.320
0.538 0.365 0.358
0.365 0.538 0.858
0.827 0.365 0.507
0.858 0.820 0.993
0.007 0.680 0.142
0.493 0.358 0.820
0.358 0.493 0.320
0.962 0.820 0.327
0.493 0.135 0.173
0.827 0.462 0.820
0.327 0.007 0.865
0.820 0.858 0.493
0.375 0.125 0.750
0.500 0.500 0.500
0.000 0.500 0.000
0.250 0.875 0.125
0.125 0.750 0.375
0.000 0.500 0.500
0.750 0.125 0.875
0.000 0.000 0.000
0.000 0.000 0.500
0.500 0.000 0.500
0.375 0.250 0.125
0.875 0.625 0.750
0.125 0.375 0.250
0.625 0.875 0.250
0.875 0.250 0.625
0.500 0.000 0.000
0.250 0.375 0.625
0.500 0.500 0.000
0.750 0.625 0.375
0.625 0.750 0.875
0.875 0.125 0.250
0.875 0.750 0.125
0.375 0.625 0.250
0.125 0.250 0.875
0.250 0.125 0.375
0.625 0.250 0.375
0.375 0.750 0.625
0.250 0.625 0.875
0.750 0.875 0.625
0.625 0.375 0.750
0.125 0.875 0.750
0.750 0.375 0.125
```

* formation energy (no corrections): -0.9168 eV per atom
* V: 27.9 Å³/atom
* ρ: 3.09 g/cm³
* space-group type: Ia-3d, No. 230

***

[21]
This record from the Alexandria database describes an optimized crystal structure of MgAgCl2. The functional is PBE.

Structure (POSCAR):
```
MgAgCl2
1.0
-1.978 -7.643 1.971
2.778 4.993 2.622
-1.857 2.386 1.929
Cl Ag Mg
2 1 1
Direct
0.000 0.000 0.000
0.500 0.000 0.500
0.500 0.500 0.000
0.000 0.500 0.500
```

* formation energy (no corrections): -0.5722 eV per atom
* V: 25.7 Å³/atom
* ρ: 3.28 g/cm³
* E above lowest polymorph: 486 meV/atom
* space-group type: C2/m, No. 12

***

[22]
This record from the Alexandria database describes an optimized crystal structure of MgAg3Cl6. The functional is PBE.

Structure (POSCAR):
```
MgAg3Cl6
1.0
-3.462 -3.170 6.253
1.528 -6.984 -3.166
6.958 0.335 3.551
Cl Mg Ag
12 2 6
Direct
0.919 0.105 0.296
0.611 0.801 0.448
0.448 0.611 0.801
0.389 0.199 0.552
0.296 0.919 0.105
0.199 0.552 0.389
0.801 0.448 0.611
0.895 0.704 0.081
0.105 0.296 0.919
0.704 0.081 0.895
0.552 0.389 0.199
0.081 0.895 0.704
0.000 0.000 0.000
0.500 0.500 0.500
0.746 0.422 0.936
0.936 0.746 0.422
0.422 0.936 0.746
0.578 0.064 0.254
0.064 0.254 0.578
0.254 0.578 0.064
```

* formation energy (no corrections): -0.8013 eV per atom
* V: 23.8 Å³/atom
* ρ: 3.91 g/cm³
* E above lowest polymorph: 4 meV/atom
* space-group type: R-3, No. 148

***

[23]
This record from the Alexandria database describes an optimized crystal structure of MgAgCl2. The functional is PBE.

Structure (POSCAR):
```
MgAgCl2
1.0
-2.492 -1.662 -1.652
0.125 -1.650 2.994
-5.396 5.081 3.026
Ag Cl Mg
1 2 1
Direct
0.500 0.500 0.745
0.000 0.000 0.926
0.500 0.500 0.331
0.000 0.000 0.498
```

* formation energy (no corrections): -0.6834 eV per atom
* V: 22.9 Å³/atom
* ρ: 3.69 g/cm³
* E above lowest polymorph: 375 meV/atom
* space-group type: Cmm2, No. 35